Here is crystalline CsMoF3 at its relaxed geometry from Alexandria. Energies are from PBE+U.

The structure in POSCAR format:
```
CsMoF3
1.0
4.5916 0.0000 0.0000
0.0000 4.5916 0.0000
0.0000 0.0000 4.5916
F Cs Mo
3 1 1
Direct
0.0000 0.5000 0.0000
0.0000 0.0000 0.5000
0.5000 0.0000 0.0000
0.5000 0.5000 0.5000
0.0000 0.0000 0.0000
```

## Properties
Calculated volume in Å³/f.u.: 96.8
Total magnetization in μB per atom: 0.8000
Calculated total energy in eV/atom: -4.93
Density in g/cm3: 4.90
DOS at the Fermi energy in states/eV per atom: 0.15